The following is a GGA+U calculation of crystalline MnNbF3 at its relaxed geometry, from Alexandria via LeMat-Bulk.

Summary:
energy above the most stable polymorph in this dataset = 0.00 eV/f.u.
crystal system = cubic

Cell: 4.378 4.378 4.378 Å, 90.00 90.00 90.00°
Sites, in units of the cell vectors:
F (0.000, 0.000, 0.500)
F (0.500, 0.000, 0.000)
F (0.000, 0.500, 0.000)
Nb (0.000, 0.000, 0.000)
Mn (0.500, 0.500, 0.500)